! Ta3BeO | Alexandria via LeMat-Bulk | PBE | relaxed; values from VASP
&SYSTEM
  ibrav = 0, nat = 5, ntyp = 3
/
ATOMIC_SPECIES
O 16.00 O.upf
Ta 180.95 Ta.upf
Be 9.01 Be.upf
CELL_PARAMETERS angstrom
4.182 0.000 0.000
0.000 4.182 0.000
0.000 0.000 4.182
ATOMIC_POSITIONS crystal
O 0.000 0.000 0.000
Ta 0.500 0.000 0.000
Ta 0.000 0.500 0.000
Ta 0.000 0.000 0.500
Be 0.500 0.500 0.500
! DOS at the Fermi energy: 0.723 states/eV/atom
! space group: Pm-3m
! calculated density: 12.888 g cm⁻³
! size of the total moment: 0.0 μB/cell
! relative energy among the computed polymorphs: 0 kJ/mol of formula units
! raw formation energy: -321 meV/atom



! Ac2As3PdRh4 | Alexandria via LeMat-Bulk | PBE | relaxed; values from VASP
&SYSTEM
  ibrav = 0, nat = 10, ntyp = 4
/
ATOMIC_SPECIES
Rh 102.91 Rh.upf
As 74.92 As.upf
Ac 227.00 Ac.upf
Pd 106.42 Pd.upf
CELL_PARAMETERS angstrom
-1.560 -3.966 -0.370
0.537 -0.604 4.201
-9.936 3.740 1.808
ATOMIC_POSITIONS crystal
Rh 0.000 0.000 0.000
Rh 0.500 0.500 0.000
Rh 0.500 0.000 0.648
Rh 0.000 0.500 0.352
As 0.500 0.000 0.873
As 0.000 0.000 0.500
As 0.000 0.500 0.127
Ac 0.500 0.000 0.263
Ac 0.000 0.500 0.737
Pd 0.500 0.500 0.500
! DOS at the Fermi energy: 0.578 states/eV/atom
! space group: P-4m2
! calculated density: 10.082 g cm⁻³
! size of the total moment: 0.0 μB/cell
! E_form: -0.82 eV per atom



! MnGaIr | Alexandria via LeMat-Bulk | PBE | relaxed; values from VASP
&SYSTEM
  ibrav = 0, nat = 3, ntyp = 3
/
ATOMIC_SPECIES
Mn 54.94 Mn.upf
Ir 192.22 Ir.upf
Ga 69.72 Ga.upf
CELL_PARAMETERS angstrom
2.855 0.000 0.000
0.000 4.260 0.000
0.000 -2.130 3.689
ATOMIC_POSITIONS crystal
Mn 0.333 0.667 0.333
Ir 0.833 0.333 0.667
Ga 0.834 0.000 0.000
! DOS at the Fermi energy: 0.520 states/eV/atom
! space group: P-6m2
! calculated density: 11.729 g cm⁻³
! size of the total moment: 3.8 μB/cell
! E_form: -0.19 eV per atom



! ThMgZn | Alexandria via LeMat-Bulk | PBE | relaxed; values from VASP
&SYSTEM
  ibrav = 0, nat = 3, ntyp = 3
/
ATOMIC_SPECIES
Zn 65.41 Zn.upf
Mg 24.30 Mg.upf
Th 232.04 Th.upf
CELL_PARAMETERS angstrom
-0.640 0.999 3.149
1.000 -2.998 1.155
5.678 3.149 -1.643
ATOMIC_POSITIONS crystal
Zn 0.681 0.681 0.362
Mg 0.307 0.307 0.614
Th 0.012 0.012 0.024
! DOS at the Fermi energy: 0.596 states/eV/atom
! space group: I4mm
! calculated density: 7.538 g cm⁻³
! size of the total moment: 0.0 μB/cell
! E_form: -0.07 eV per atom



! RbTcI2 | Alexandria via LeMat-Bulk | PBE | relaxed; values from VASP
&SYSTEM
  ibrav = 0, nat = 4, ntyp = 3
/
ATOMIC_SPECIES
I 126.90 I.upf
Tc 98.00 Tc.upf
Rb 85.47 Rb.upf
CELL_PARAMETERS angstrom
0.000 4.072 4.072
4.072 0.000 4.072
4.072 4.072 0.000
ATOMIC_POSITIONS crystal
I 0.750 0.750 0.750
I 0.250 0.250 0.250
Tc 0.500 0.500 0.500
Rb 0.000 0.000 0.000
! DOS at the Fermi energy: 2.731 states/eV/atom
! space group: Fm-3m
! calculated density: 5.376 g cm⁻³
! size of the total moment: 4.0 μB/cell
! relative energy among the computed polymorphs: 125 kJ/mol of formula units
! raw formation energy: 339 meV/atom



! CaLa2Nd2Y2 | Alexandria via LeMat-Bulk | PBE | relaxed; values from VASP
&SYSTEM
  ibrav = 0, nat = 7, ntyp = 4
/
ATOMIC_SPECIES
La 138.91 La.upf
Y 88.91 Y.upf
Nd 144.24 Nd.upf
Ca 40.08 Ca.upf
CELL_PARAMETERS angstrom
-4.714 -0.812 2.159
4.588 -3.916 2.166
1.329 6.210 5.238
ATOMIC_POSITIONS crystal
La 0.146 0.291 0.432
La 0.854 0.709 0.568
Y 0.425 0.850 0.292
Y 0.575 0.150 0.708
Nd 0.284 0.567 0.854
Nd 0.716 0.433 0.146
Ca 0.000 0.000 0.000
! DOS at the Fermi energy: 1.634 states/eV/atom
! space group: C2/m
! calculated density: 5.208 g cm⁻³
! size of the total moment: 0.0 μB/cell
! E_form: 0.06 eV per atom



! Ti3CdN | Alexandria via LeMat-Bulk | PBE | relaxed; values from VASP
&SYSTEM
  ibrav = 0, nat = 5, ntyp = 3
/
ATOMIC_SPECIES
Ti 47.87 Ti.upf
Cd 112.41 Cd.upf
N 14.01 N.upf
CELL_PARAMETERS angstrom
3.010 0.000 0.000
0.000 3.056 -4.490
0.000 3.056 4.490
ATOMIC_POSITIONS crystal
Ti 0.500 0.635 0.832
Ti 0.500 0.168 0.365
Ti 0.000 0.154 0.846
Cd 0.000 0.655 0.345
N 0.500 0.015 0.985
! DOS at the Fermi energy: 1.447 states/eV/atom
! space group: Amm2
! calculated density: 5.428 g cm⁻³
! size of the total moment: 0.0 μB/cell
! raw formation energy: -454 meV/atom



! K2NaRuBr6 | Alexandria via LeMat-Bulk | PBE | relaxed; values from VASP
&SYSTEM
  ibrav = 0, nat = 10, ntyp = 4
/
ATOMIC_SPECIES
Br 79.90 Br.upf
Na 22.99 Na.upf
K 39.10 K.upf
Ru 101.07 Ru.upf
CELL_PARAMETERS angstrom
-6.381 4.280 -1.102
-6.999 -3.014 1.473
-4.121 2.375 5.747
ATOMIC_POSITIONS crystal
Br 0.012 0.534 0.294
Br 0.472 0.620 0.808
Br 0.099 0.472 0.809
Br 0.620 0.098 0.810
Br 0.160 0.012 0.295
Br 0.534 0.160 0.294
Na 0.816 0.816 0.552
K 0.560 0.560 0.321
K 0.073 0.073 0.782
Ru 0.316 0.316 0.052
! DOS at the Fermi energy: 0.878 states/eV/atom
! space group: R-3
! calculated density: 3.639 g cm⁻³
! size of the total moment: 1.0 μB/cell
! raw formation energy: -1068 meV/atom



! Th2OsPt | Alexandria via LeMat-Bulk | PBE | relaxed; values from VASP
&SYSTEM
  ibrav = 0, nat = 16, ntyp = 3
/
ATOMIC_SPECIES
Pt 195.08 Pt.upf
Th 232.04 Th.upf
Os 190.23 Os.upf
CELL_PARAMETERS angstrom
7.005 -0.014 -1.834
-3.065 6.029 -2.458
-0.120 0.803 9.184
ATOMIC_POSITIONS crystal
Pt 0.683 0.933 0.366
Pt 0.317 0.067 0.634
Pt 0.442 0.692 0.884
Pt 0.558 0.308 0.116
Th 0.568 0.807 0.624
Th 0.056 0.318 0.624
Th 0.835 0.074 0.125
Th 0.944 0.682 0.376
Th 0.165 0.926 0.875
Th 0.432 0.193 0.376
Th 0.710 0.448 0.875
Th 0.290 0.552 0.125
Os 0.808 0.558 0.615
Os 0.067 0.817 0.135
Os 0.933 0.183 0.865
Os 0.192 0.442 0.385
! DOS at the Fermi energy: 0.553 states/eV/atom
! space group: C2/c
! calculated density: 13.948 g cm⁻³
! size of the total moment: 0.0 μB/cell
! E_form: -0.75 eV per atom



! Ce6TmSe12 | Alexandria via LeMat-Bulk | PBE | relaxed; values from VASP
&SYSTEM
  ibrav = 0, nat = 19, ntyp = 3
/
ATOMIC_SPECIES
Se 78.96 Se.upf
Ce 140.12 Ce.upf
Tm 168.93 Tm.upf
CELL_PARAMETERS angstrom
-3.225 0.754 -7.703
7.034 -4.187 -1.818
-4.698 -6.317 2.886
ATOMIC_POSITIONS crystal
Se 0.067 0.324 0.954
Se 0.676 0.046 0.933
Se 0.324 0.954 0.067
Se 0.933 0.676 0.046
Se 0.823 0.422 0.569
Se 0.569 0.823 0.422
Se 0.046 0.933 0.676
Se 0.177 0.578 0.431
Se 0.954 0.067 0.324
Se 0.578 0.431 0.177
Se 0.431 0.177 0.578
Se 0.422 0.569 0.823
Ce 0.865 0.698 0.376
Ce 0.698 0.376 0.865
Ce 0.624 0.135 0.302
Ce 0.302 0.624 0.135
Ce 0.135 0.302 0.624
Ce 0.376 0.865 0.698
Tm 0.000 0.000 0.000
! DOS at the Fermi energy: 1.494 states/eV/atom
! space group: R-3
! calculated density: 5.794 g cm⁻³
! size of the total moment: 3.1 μB/cell
! raw formation energy: -1732 meV/atom